Entry from Alexandria: an optimized crystal structure of CaCr2F8 (PBE with a Hubbard U).

Properties
Total DFT energy (no corrections) (eV/atom): -5.847
Calculated volume (Å³/cell): 303
Total magnetization (μB/cell): 12.00

Cell lengths 10.1705, 7.2774, 4.0885 Å; angles 90.00, 90.95, 90.00 degrees
Space group C2/m (No. 12)
One atom of each set of equivalent atoms:
Ca 0.0000 0.0000 0.0000 [2 per cell]
Cr 0.1209 0.5000 0.2539 [4 per cell]
F 0.0857 0.5000 0.7528 [4 per cell]
F 0.1062 0.2408 0.2504 [8 per cell]
F 0.1966 0.0000 0.7405 [4 per cell]